Entry 1:
NbSiTcRu | PBE-GGA | relaxed

The structure in POSCAR format:
```
NbSiTcRu
1.0
-3.482 2.541 0.591
-3.124 0.148 -3.025
-3.887 -1.786 0.797
Ru Nb Si Tc
1 1 1 1
Direct
0.750 0.750 0.750
0.000 0.000 0.000
0.500 0.500 0.500
0.250 0.250 0.250
```

Entry 2:
AcPu2Si | PBE-GGA | relaxed

The structure in POSCAR format:
```
AcPu2Si
1.0
4.977 0.000 0.000
0.000 4.624 0.000
0.000 0.000 4.624
Ac Si Pu
1 1 2
Direct
0.500 0.500 0.500
0.500 0.000 0.000
0.000 0.000 0.500
0.000 0.500 0.000
```

Calculated values
Offset from the most stable computed form in meV per atom: 27

Entry 3:
KCaNdBr6 | PBE-GGA | relaxed

The structure in POSCAR format:
```
KCaNdBr6
1.0
7.579 0.000 0.000
-3.789 6.563 0.000
0.000 0.000 14.302
K Ca Nd Br
2 2 2 12
Direct
0.000 0.000 0.000
0.000 0.000 0.500
0.333 0.667 0.250
0.667 0.333 0.750
0.667 0.333 0.250
0.333 0.667 0.750
0.632 0.631 0.135
0.999 0.368 0.135
0.368 0.999 0.635
0.001 0.632 0.865
0.369 0.368 0.365
0.999 0.631 0.365
0.631 0.999 0.865
0.632 0.001 0.365
0.001 0.369 0.635
0.369 0.001 0.135
0.631 0.632 0.635
0.368 0.369 0.865
```

Entry 4:
HfI3F | PBE-GGA | relaxed

The structure in POSCAR format:
```
HfI3F
1.0
5.189 0.000 0.000
0.000 5.189 0.000
0.000 0.000 5.189
I Hf F
3 1 1
Direct
0.000 0.500 0.000
0.000 0.000 0.500
0.500 0.000 0.000
0.500 0.500 0.500
0.000 0.000 0.000
```

Calculated values
Offset from the most stable computed form in meV per atom: 1103

Formation energy without anion corrections list, top to bottom, in eV per formula unit: -2.06; -0.22; -17.31; 2.48